First-principles (PBE) data for a relaxed Tl2ZnCd crystal, as listed in the Alexandria database.

Calculated values
As for the total DFT energy (no corrections): -1.6282 eV/atom. The value obtained for the formation energy is 0.10 eV per atom.

Unit cell a=9.9263 b=9.9263 c=9.9263 alpha=20.34 beta=20.34 gamma=20.34
Closest atoms and distances in Å follow each position.
Positions (direct):
1 Zn 0.4959 0.4959 0.4959  3 Cd 2.86, 3 Tl 3.02
2 Tl 0.2396 0.2396 0.2396  3 Zn 3.02
3 Tl 0.0045 0.0045 0.0045  3 Cd 3.29, 9 Tl 3.50-3.51
4 Cd 0.7601 0.7601 0.7601  3 Zn 2.86